{
  "formula": "NdLuAu",
  "functional": "PBE",
  "state": "relaxed",
  "dos_ef_per_ev_atom": 0.923,
  "delta_e_f_mev_per_atom": -425,
  "polymorph_energy_mev_per_atom": 108,
  "lattice_angstrom": [[4.0143, 0.0000, 0.0000], [0.0000, 4.8791, 0.0000], [0.0000, -2.4395, 4.2254]],
  "species": ["Au", "Lu", "Nd"],
  "frac_coords": [[0.2253, 0.3333, 0.6667], [0.1340, 0.0000, 0.0000], [0.6406, 0.6667, 0.3333]]
}